(1)
A plane-wave DFT calculation with GGA-PBE was carried out for a geometry-optimized AcPrCu structure.

Unit cell a=5.185 b=5.185 c=5.185 alpha=60.00 beta=60.00 gamma=60.00
Site moments in Bohr magnetons follow the coordinates.
Positions (direct):
Pr1 0.500 0.500 0.500  0.26
Ac1 0.000 0.000 0.000  0.16
Cu1 0.250 0.250 0.250  0.05

Calculated density in Mg/m³: 7.27
ΔH_f (0 K) in meV per atom: 147.0
Distance to the lowest polymorph of the same formula in eV/atom: 0.222

=====

(2)
A plane-wave DFT calculation with GGA-PBE was carried out for a geometry-optimized Ac3PrCu structure.

Unit cell a=5.894 b=5.894 c=5.894 alpha=90.00 beta=90.00 gamma=90.00
Positions (direct):
Ac1 0.000 0.000 0.500
Ac2 0.000 0.500 0.000
Ac3 0.500 0.000 0.000
Pr1 0.500 0.500 0.500
Cu1 0.000 0.000 0.000

Calculated density in Mg/m³: 7.18
ΔH_f (0 K) in meV per atom: 140.2

=====

(3)
A plane-wave DFT calculation with GGA-PBE was carried out for a geometry-optimized AcPrCu10 structure.

Unit cell a=4.109 b=5.251 c=9.027 alpha=90.00 beta=90.00 gamma=90.00
Positions (direct):
Cu1 0.000 0.500 0.839
Cu2 0.000 0.500 0.161
Ac1 0.000 0.500 0.500
Cu3 0.500 0.753 0.756
Cu4 0.500 0.247 0.756
Pr1 0.000 0.000 0.000
Cu5 0.500 0.000 0.500
Cu6 0.500 0.753 0.244
Cu7 0.500 0.247 0.244
Cu8 0.000 0.000 0.328
Cu9 0.000 0.000 0.672
Cu10 0.500 0.500 0.000

Calculated density in Mg/m³: 8.56
ΔH_f (0 K) in meV per atom: -133.1

=====

(4)
A plane-wave DFT calculation with GGA-PBE was carried out for a geometry-optimized AcPr2Cu structure.

Unit cell a=5.201 b=6.680 c=7.946 alpha=90.00 beta=90.00 gamma=112.91
Positions (direct):
Pr1 0.351 0.702 0.971
Pr2 0.649 0.298 0.471
Ac1 0.953 0.906 0.250
Ac2 0.047 0.094 0.750
Pr3 0.649 0.298 0.029
Cu1 0.203 0.407 0.250
Cu2 0.797 0.593 0.750
Pr4 0.351 0.702 0.529

Calculated density in Mg/m³: 7.48
ΔH_f (0 K) in meV per atom: -40.0
Distance to the lowest polymorph of the same formula in eV/atom: 0.005